No. 1
Entry from Alexandria: an optimized crystal structure of PrSm3Hg2 (PBE).

Formation enthalpy at 0 K = -0.332 eV per atom
Energy above the lowest structure with this stoichiometry = 0.00 eV/f.u.
Total magnetization = 0.00 μB/cell
Total DFT energy (no corrections) = -3.589 eV/atom

a = 5.2294 Å, b = 9.5331 Å, c = 7.2569 Å
α = 90.00°, β = 90.00°, γ = 90.00°
Last column: nearest neighbours and their distance in Å.
Fractional positions:
1 Pr 0.0000 0.0572 0.0000  3 Hg 3.26-3.32, 1 Sm 3.59
2 Pr 0.0000 0.9428 0.5000  3 Hg 3.26-3.32, 1 Sm 3.59
3 Sm 0.0000 0.3279 0.6554  4 Hg 3.08-3.19
4 Sm 0.0000 0.6721 0.1554  4 Hg 3.08-3.19
5 Sm 0.5000 0.1760 0.3171  4 Hg 3.12-3.18
6 Sm 0.5000 0.4429 0.9718  3 Hg 3.24-3.31, 1 Sm 3.57
7 Sm 0.5000 0.5571 0.4718  3 Hg 3.24-3.31, 1 Sm 3.57
8 Sm 0.5000 0.8240 0.8171  4 Hg 3.12-3.18
9 Hg 0.0000 0.3531 0.2248  6 Sm 3.08-3.31, 1 Pr 3.26
10 Hg 0.0000 0.6469 0.7248  6 Sm 3.08-3.31, 1 Pr 3.26
11 Hg 0.5000 0.1499 0.7462  5 Sm 3.12-3.24, 2 Pr 3.32
12 Hg 0.5000 0.8501 0.2462  5 Sm 3.12-3.24, 2 Pr 3.32



No. 2
Entry from Alexandria: an optimized crystal structure of LaCd2Pb (PBE).

Formation enthalpy at 0 K = -0.169 eV per atom
Total magnetization = 0.00 μB/cell
Total DFT energy (no corrections) = -2.785 eV/atom

a = 4.6610 Å, b = 4.6610 Å, c = 22.7173 Å
α = 90.00°, β = 90.00°, γ = 90.00°
Last column: nearest neighbours and their distance in Å.
Fractional positions:
1 La 0.0000 0.0000 0.0000  4 Pb 3.30, 4 Cd 3.34
2 La 0.0000 0.5000 0.2500  4 Pb 3.30, 4 Cd 3.34
3 La 0.5000 0.0000 0.7500  4 Pb 3.30, 4 Cd 3.34
4 La 0.5000 0.5000 0.5000  4 Pb 3.30, 4 Cd 3.34
5 Cd 0.2176 0.2500 0.6250  2 Cd 3.09, 2 Pb 3.23, 2 La 3.34
6 Cd 0.2500 0.7176 0.8750  2 Cd 3.09, 2 Pb 3.23, 2 La 3.34
7 Cd 0.2500 0.7824 0.3750  2 Cd 3.09, 2 Pb 3.23, 2 La 3.34
8 Cd 0.2824 0.2500 0.1250  2 Cd 3.09, 2 Pb 3.23, 2 La 3.34
9 Cd 0.7176 0.7500 0.1250  2 Cd 3.09, 2 Pb 3.23, 2 La 3.34
10 Cd 0.7500 0.2176 0.3750  2 Cd 3.09, 2 Pb 3.23, 2 La 3.34
11 Cd 0.7500 0.2824 0.8750  2 Cd 3.09, 2 Pb 3.23, 2 La 3.34
12 Cd 0.7824 0.7500 0.6250  2 Cd 3.09, 2 Pb 3.23, 2 La 3.34
13 Pb 0.0000 0.0000 0.5000  4 Cd 3.23, 4 La 3.30
14 Pb 0.0000 0.5000 0.7500  4 Cd 3.23, 4 La 3.30
15 Pb 0.5000 0.0000 0.2500  4 Cd 3.23, 4 La 3.30
16 Pb 0.5000 0.5000 0.0000  4 Cd 3.23, 4 La 3.30



No. 3
Entry from Alexandria: an optimized crystal structure of Pm5Ir2N (PBE).

ΔE_f (raw) = -0.587 eV per atom
Total magnetization = 0.00 μB/cell
Total DFT energy (no corrections) = -6.812 eV/atom

a = 6.4263 Å, b = 6.4263 Å, c = 13.2843 Å
α = 90.00°, β = 90.00°, γ = 128.76°
Last column: nearest neighbours and their distance in Å.
Fractional positions:
1 Pm 0.0643 0.9357 0.6229  1 N 2.51, 1 Ir 2.72
2 Pm 0.0643 0.9357 0.8771  1 N 2.51, 1 Ir 2.72
3 Pm 0.2753 0.7247 0.2500  2 N 2.78, 2 Ir 2.82
4 Pm 0.3576 0.6424 0.6082  1 N 2.43
5 Pm 0.3576 0.6424 0.8918  1 N 2.43
6 Pm 0.6424 0.3576 0.1082  1 N 2.43
7 Pm 0.6424 0.3576 0.3918  1 N 2.43
8 Pm 0.7247 0.2753 0.7500  2 N 2.78, 2 Ir 2.82
9 Pm 0.9357 0.0643 0.1229  1 N 2.51, 1 Ir 2.72
10 Pm 0.9357 0.0643 0.3771  1 N 2.51, 1 Ir 2.72
11 Ir 0.1823 0.8177 0.0542  6 Pm 2.72-3.00
12 Ir 0.1823 0.8177 0.4458  6 Pm 2.72-3.00
13 Ir 0.8177 0.1823 0.5542  6 Pm 2.72-3.00
14 Ir 0.8177 0.1823 0.9458  6 Pm 2.72-3.00
15 N 0.2248 0.7752 0.7500  4 Pm 2.43-2.51
16 N 0.7752 0.2248 0.2500  4 Pm 2.43-2.51